[1]
Below is a geometry-optimized Re2HgMo structure, with properties calculated at the PBE level.

Cell: 4.9746 4.9746 4.9024 Å, 79.00 79.00 33.74°
Sites, in units of the cell vectors:
Re  0.5122  0.5122  0.4680
Re  0.9878  0.9878  0.0320
Mo  0.2500  0.2500  0.2500
Hg  0.7500  0.7500  0.7500

Values from the calculation:
The value obtained for the formation energy is 0.5259 eV/atom. The density comes out at 16.82 Mg/m³.

=====

[2]
Below is a geometry-optimized Na3ZrNp3S8 structure, with properties calculated at the PBE level.

Cell: 7.8772 7.8776 8.1304 Å, 119.01 90.00 120.00°
Sites, in units of the cell vectors:
Na  0.0000  0.5000  0.0000
Na  0.0000  0.0000  0.0000
Na  0.5000  0.5000  0.0000
S  0.7427  0.4854  0.7278
S  0.7539  0.9861  0.7180
S  0.2322  0.9861  0.7180
S  0.2322  0.4645  0.7181
S  0.7678  0.0139  0.2820
S  0.2573  0.5146  0.2722
S  0.7678  0.5355  0.2819
S  0.2461  0.0139  0.2820
Np  0.5000  0.0000  0.5000
Np  0.5000  0.5000  0.5000
Np  0.0000  0.5000  0.5000
Zr  0.0000  0.0000  0.5000

Values from the calculation:
The value obtained for the formation energy (no corrections) is -1404 meV per atom. The density comes out at 5.17 Mg/m³.

=====

[3]
Below is a geometry-optimized PmTmGe2O8 structure, with properties calculated at the PBE level.

Cell: 5.1199 5.1199 6.7299 Å, 112.36 112.36 90.00°
Sites, in units of the cell vectors:
O  0.4203  0.3210  0.1569
O  0.3089  0.9224  0.3310
O  0.6790  0.2634  0.8431
O  0.5914  0.6911  0.6690
O  0.0776  0.9779  0.6690
O  0.0221  0.4086  0.3310
O  0.7366  0.8360  0.1569
O  0.1640  0.5797  0.8431
Ge  0.5000  0.5000  0.0000
Ge  0.2500  0.7500  0.5000
Pm  0.7500  0.2500  0.5000
Tm  0.0000  0.0000  0.0000

Values from the calculation:
The value obtained for the formation energy (no corrections) is -2232 meV per atom. The density comes out at 6.56 Mg/m³.

=====

[4]
Below is a geometry-optimized CaMnAs2Se structure, with properties calculated at the PBE level.

Cell: 5.3398 5.3398 5.3028 Å, 90.00 90.00 90.00°
Sites, in units of the cell vectors:
Ca  0.0000  0.0000  0.0000
As  0.0000  0.5000  0.0000
As  0.5000  0.0000  0.0000
Se  0.0000  0.0000  0.5000
Mn  0.5000  0.5000  0.5000

Values from the calculation:
The calculation puts the energy above the lowest structure with this stoichiometry at 1107.1 meV/atom. The value obtained for the formation energy (no corrections) is 748 meV per atom. The density comes out at 3.56 Mg/m³.